# ErMnTeO6 | Alexandria | PBE with a Hubbard U | optimized geometry
data_ErMnTeO6
_chemical_formula_sum 'Er2 Mn2 Te2 O12'
_space_group_name_H-M_alt 'P 1'
_space_group_IT_number 1
_cell_length_a 5.4812
_cell_length_b 5.4812
_cell_length_c 8.7347
_cell_angle_alpha 90.00
_cell_angle_beta 90.00
_cell_angle_gamma 120.00
loop_
_space_group_symop_operation_xyz
'x,y,z'
loop_
_atom_site_label
_atom_site_fract_x
_atom_site_fract_y
_atom_site_fract_z
Er1 0.6667 0.3333 0.7500
O1 0.3213 0.3613 0.8728
Te1 0.3333 0.6667 0.7500
O2 0.3213 0.9600 0.6272
O3 0.9600 0.6387 0.3728
Er2 0.3333 0.6667 0.2500
O4 0.3613 0.0400 0.1272
Te2 0.6667 0.3333 0.2500
O5 0.0400 0.3613 0.6272
O6 0.6387 0.9600 0.8728
O7 0.6787 0.6387 0.1272
Mn1 0.0000 0.0000 0.5000
O8 0.6387 0.6787 0.6272
O9 0.0400 0.6787 0.8728
Mn2 0.0000 0.0000 0.0000
O10 0.9600 0.3213 0.1272
O11 0.6787 0.0400 0.3728
O12 0.3613 0.3213 0.3728
# Space-group type ... No. 163
# Calculated volume ... 12.6 Å³/atom
# Calculated total energy ... -6.718 eV per atom